[1]
# Pm5Ga3Si3

A relaxed structure of Pm5Ga3Si3 (PBE, Alexandria via LeMat-Bulk).

Its spin magnetization is 0.00 μB/atom. The raw formation energy is -0.20 eV per atom.

abc: 9.2598 9.2598 4.1077
angles: 90.00 90.00 120.00
Space group P-62m (No. 189)
Symmetry-distinct sites (fractional):
1 Pm 0.0000 0.7478 0.0000 x3
2 Pm 0.3333 0.6667 0.0000 x2
3 Ga 0.0000 0.2520 0.5000 x3
4 Si 0.0000 0.3982 0.0000 x3

=====

[2]
# Ac3Tb2Pm5

A relaxed structure of Ac3Tb2Pm5 (PBE, Alexandria via LeMat-Bulk).

Its spin magnetization is 0.00 μB/atom. For the calculated formation energy, the calculation gives 0.34 eV/atom.

abc: 9.937 14.220 11.211
angles: 90.00 90.00 90.00
Space group Ibam (No. 72)
Symmetry-distinct sites (fractional):
1 Ac 0.000 0.000 0.250 x4
2 Ac 0.247 0.124 0.000 x8
3 Tb 0.096 0.139 0.500 x8
4 Pm 0.000 0.256 0.250 x8
5 Pm 0.000 0.500 0.250 x4
6 Pm 0.098 0.379 0.000 x8

=====

[3]
# TlIn12Sn3

A relaxed structure of TlIn12Sn3 (PBE, Alexandria via LeMat-Bulk).

Its spin magnetization is 0.00 μB/atom. For the calculated formation energy, the calculation gives 0.02 eV/atom.

abc: 5.035 5.035 17.407
angles: 90.00 90.00 90.00
Space group P4/mmm (No. 123)
Symmetry-distinct sites (fractional):
1 Tl 0.000 0.000 0.000 x1
2 In 0.000 0.500 0.129 x4
3 In 0.000 0.500 0.375 x4
4 In 0.500 0.500 0.000 x1
5 In 0.500 0.500 0.252 x2
6 In 0.500 0.500 0.500 x1
7 Sn 0.000 0.000 0.250 x2
8 Sn 0.000 0.000 0.500 x1

=====

[4]
# MgRh3

A relaxed structure of MgRh3 (PBE, Alexandria via LeMat-Bulk).

Its spin magnetization is 0.00 μB/atom. For the calculated formation energy, the calculation gives -0.24 eV/atom.

abc: 5.466 7.686 2.776
angles: 90.00 90.00 90.00
Space group Cmmm (No. 65)
Symmetry-distinct sites (fractional):
1 Mg 0.000 0.000 0.000 x2
2 Rh 0.000 0.500 0.000 x2
3 Rh 0.250 0.250 0.500 x4

=====

[5]
# Pm2Ga4Cu3Rh

A relaxed structure of Pm2Ga4Cu3Rh (PBE, Alexandria via LeMat-Bulk).

Its spin magnetization is 0.00 μB/atom. For the calculated formation energy, the calculation gives -0.52 eV/atom.

abc: 4.168 4.168 10.380
angles: 90.00 90.00 90.00
Space group P-4m2 (No. 115)
Symmetry-distinct sites (fractional):
1 Pm 0.000 0.500 0.249 x2
2 Ga 0.000 0.000 0.000 x1
3 Ga 0.000 0.500 0.632 x2
4 Ga 0.500 0.500 0.000 x1
5 Cu 0.000 0.500 0.867 x2
6 Cu 0.500 0.500 0.500 x1
7 Rh 0.000 0.000 0.500 x1

=====

[6]
# Dy9Y11Ho4

A relaxed structure of Dy9Y11Ho4 (PBE, Alexandria via LeMat-Bulk).

Its spin magnetization is 0.00 μB/atom. For the calculated formation energy, the calculation gives 0.05 eV/atom.

abc: 16.659 25.159 3.675
angles: 90.00 90.00 90.00
Space group Cmmm (No. 65)
Symmetry-distinct sites (fractional):
1 Dy 0.000 0.000 0.000 x2
2 Dy 0.102 0.233 0.000 x8
3 Dy 0.142 0.428 0.000 x8
4 Y 0.000 0.132 0.500 x4
5 Y 0.000 0.340 0.500 x4
6 Y 0.000 0.500 0.500 x2
7 Y 0.208 0.000 0.500 x4
8 Y 0.226 0.319 0.500 x8
9 Ho 0.155 0.101 0.000 x8

=====

[7]
# TaCr2As

A relaxed structure of TaCr2As (PBE, Alexandria via LeMat-Bulk).

Its spin magnetization is 0.16 μB/atom. For the calculated formation energy, the calculation gives 0.02 eV/atom.

abc: 3.171 4.150 8.464
angles: 90.00 90.00 90.00
Space group Imm2 (No. 44)
Symmetry-distinct sites (fractional):
1 Ta 0.000 0.000 0.000 x2
2 Cr 0.000 0.000 0.507 x2
3 Cr 0.000 0.500 0.246 x2
4 As 0.000 0.500 0.765 x2

=====

[8]
# NdSm5Ga6

A relaxed structure of NdSm5Ga6 (PBE, Alexandria via LeMat-Bulk).

Its spin magnetization is 0.00 μB/atom. For the calculated formation energy, the calculation gives -0.57 eV/atom.

abc: 5.169 15.522 7.313
angles: 90.00 90.00 90.00
Space group Cmmm (No. 65)
Symmetry-distinct sites (fractional):
1 Nd 0.000 0.000 0.000 x2
2 Sm 0.000 0.000 0.500 x2
3 Sm 0.000 0.333 0.000 x4
4 Sm 0.000 0.334 0.500 x4
5 Ga 0.000 0.168 0.252 x8
6 Ga 0.000 0.500 0.252 x4

=====

[9]
# BaSn3Br

A relaxed structure of BaSn3Br (PBE, Alexandria via LeMat-Bulk).

Its spin magnetization is 0.00 μB/atom. The energy above the most stable polymorph in this dataset is 0 meV/atom. The raw formation energy is 0.05 eV per atom.

abc: 5.707 5.707 5.707
angles: 90.00 90.00 90.00
Space group Pm-3m (No. 221)
Symmetry-distinct sites (fractional):
1 Ba 0.000 0.000 0.000 x1
2 Sn 0.000 0.500 0.500 x3
3 Br 0.500 0.500 0.500 x1

=====

[10]
# NdHfSc

A relaxed structure of NdHfSc (PBE, Alexandria via LeMat-Bulk).

Its spin magnetization is 0.00 μB/atom. The energy above the most stable polymorph in this dataset is 24 meV/atom. For the calculated formation energy, the calculation gives 0.14 eV/atom.

abc: 3.3377 3.3377 8.2211
angles: 90.00 90.00 120.00
Space group P3m1 (No. 156)
Symmetry-distinct sites (fractional):
1 Nd 0.0000 0.0000 0.0000 x1
2 Hf 0.6667 0.3333 0.3318 x1
3 Sc 0.3333 0.6667 0.6322 x1

=====

[11]
# NaAs3Au3

A relaxed structure of NaAs3Au3 (PBE, Alexandria via LeMat-Bulk).

Its spin magnetization is 0.00 μB/atom. For the calculated formation energy, the calculation gives 0.02 eV/atom.

abc: 7.210 7.210 7.210
angles: 90.00 90.00 90.00
Space group Pm-3n (No. 223)
Symmetry-distinct sites (fractional):
1 Na 0.000 0.000 0.000 x2
2 As 0.000 0.250 0.500 x6
3 Au 0.000 0.500 0.250 x6

=====

[12]
# LiZrFe2Ni

A relaxed structure of LiZrFe2Ni (PBE, Alexandria via LeMat-Bulk).

Its spin magnetization is 0.81 μB/atom. For the calculated formation energy, the calculation gives 1.24 eV/atom.

abc: 4.673 4.673 4.726
angles: 90.00 90.00 90.00
Space group P4/mmm (No. 123)
Symmetry-distinct sites (fractional):
1 Li 0.000 0.000 0.000 x1
2 Zr 0.500 0.500 0.500 x1
3 Fe 0.000 0.500 0.500 x2
4 Ni 0.500 0.500 0.000 x1

=====

> Which value of spin magnetization does entry 4 give?

0.00 μB/atom

=====

> The highest spin magnetization belongs to which entry?

LiZrFe2Ni

=====

> What is the spin magnetization in the third record?

0.00 μB/atom